Compound: Pr8Sb3Te4
Source: Alexandria via LeMat-Bulk
Functional: GGA-PBE
Structure: optimized geometry

## Properties
Its space group is C2/m (12).

abc: 9.014 9.014 9.014
angles: 119.93 119.93 90.07
Sites, in units of the cell vectors:
Pr1 0.245 0.245 0.496
Pr2 0.247 0.753 0.000
Pr3 0.248 0.248 0.002
Pr4 0.249 0.751 0.500
Pr5 0.751 0.249 0.500
Pr6 0.752 0.752 0.998
Pr7 0.753 0.247 0.000
Pr8 0.755 0.755 0.504
Sb1 0.000 0.000 0.000
Sb2 0.000 0.500 0.500
Sb3 0.500 0.000 0.500
Te1 0.000 0.500 0.000
Te2 0.500 0.000 0.000
Te3 0.500 0.500 0.000
Te4 0.500 0.500 0.500


Compound: Pr5SbTe4
Source: Alexandria via LeMat-Bulk
Functional: GGA-PBE
Structure: optimized geometry

## Properties
Its space group is I4/mmm (139).

abc: 16.363 16.363 16.363
angles: 164.06 164.06 22.62
Sites, in units of the cell vectors:
Pr1 0.000 0.000 0.000
Pr2 0.202 0.202 0.000
Pr3 0.402 0.402 0.000
Pr4 0.598 0.598 0.000
Pr5 0.798 0.798 0.000
Sb1 0.500 0.500 0.000
Te1 0.101 0.101 0.000
Te2 0.301 0.301 0.000
Te3 0.699 0.699 0.000
Te4 0.899 0.899 0.000


Compound: PrSbTe
Source: Alexandria via LeMat-Bulk
Functional: GGA-PBE
Structure: optimized geometry

## Properties
Its space group is Cmcm (63).

abc: 8.449 8.449 5.692
angles: 90.00 90.00 136.62
Sites, in units of the cell vectors:
Pr1 0.184 0.816 0.750
Pr2 0.816 0.184 0.250
Sb1 0.000 0.000 0.000
Sb2 0.000 0.000 0.500
Te1 0.280 0.720 0.250
Te2 0.720 0.280 0.750


Compound: Pr3SbTe6
Source: Alexandria via LeMat-Bulk
Functional: GGA-PBE
Structure: optimized geometry

## Properties
Its space group is Cmc2_1 (36).

abc: 9.853 9.853 7.715
angles: 90.00 90.00 102.95
Sites, in units of the cell vectors:
Pr1 0.093 0.907 0.500
Pr2 0.221 0.418 0.619
Pr3 0.418 0.221 0.119
Pr4 0.582 0.779 0.619
Pr5 0.779 0.582 0.119
Pr6 0.907 0.093 0.000
Sb1 0.324 0.676 0.130
Sb2 0.676 0.324 0.630
Te1 0.069 0.595 0.330
Te2 0.128 0.203 0.307
Te3 0.203 0.128 0.807
Te4 0.265 0.735 0.762
Te5 0.405 0.931 0.330
Te6 0.495 0.505 0.374
Te7 0.505 0.495 0.874
Te8 0.595 0.069 0.830
Te9 0.735 0.265 0.262
Te10 0.797 0.872 0.307
Te11 0.872 0.797 0.807
Te12 0.931 0.405 0.830


Compound: Pr4Sb3Te
Source: Alexandria via LeMat-Bulk
Functional: GGA-PBE
Structure: optimized geometry

## Properties
Its space group is Pm-3m (221).

abc: 6.437 6.437 6.437
angles: 90.00 90.00 90.00
Sites, in units of the cell vectors:
Pr1 0.000 0.000 0.000
Pr2 0.000 0.500 0.500
Pr3 0.500 0.000 0.500
Pr4 0.500 0.500 0.000
Sb1 0.000 0.000 0.500
Sb2 0.000 0.500 0.000
Sb3 0.500 0.000 0.000
Te1 0.500 0.500 0.500


Compound: Pr3Sb2Te
Source: Alexandria via LeMat-Bulk
Functional: GGA-PBE
Structure: optimized geometry

## Properties
The energy relative to the lowest polymorph listed for this composition is 2.57 kcal/mol of atoms. Its space group is C2/m (12).

abc: 9.042 9.042 10.992
angles: 109.18 109.18 28.36
Sites, in units of the cell vectors:
Pr1 0.030 0.030 0.304
Pr2 0.303 0.303 0.362
Pr3 0.357 0.357 0.975
Pr4 0.643 0.643 0.025
Pr5 0.697 0.697 0.638
Pr6 0.970 0.970 0.696
Sb1 0.165 0.165 0.829
Sb2 0.335 0.335 0.670
Sb3 0.665 0.665 0.330
Sb4 0.835 0.835 0.171
Te1 0.000 0.000 0.000
Te2 0.500 0.500 0.500


Compound: Pr8SbTe6
Source: Alexandria via LeMat-Bulk
Functional: GGA-PBE
Structure: optimized geometry

## Properties
Its space group is P-3 (147).

abc: 11.326 11.326 4.557
angles: 90.00 90.00 120.00
Sites, in units of the cell vectors:
Pr1 0.032 0.729 0.259
Pr2 0.271 0.303 0.259
Pr3 0.303 0.032 0.741
Pr4 0.333 0.667 0.746
Pr5 0.667 0.333 0.254
Pr6 0.697 0.968 0.259
Pr7 0.729 0.697 0.741
Pr8 0.968 0.271 0.741
Sb1 0.000 0.000 0.500
Te1 0.124 0.479 0.247
Te2 0.355 0.876 0.247
Te3 0.479 0.355 0.753
Te4 0.521 0.645 0.247
Te5 0.645 0.124 0.753
Te6 0.876 0.521 0.753


Compound: Pr5SbTe5
Source: Alexandria via LeMat-Bulk
Functional: GGA-PBE
Structure: optimized geometry

## Properties
Its space group is C2/m (12).

abc: 7.829 7.829 9.031
angles: 106.74 106.74 48.40
Sites, in units of the cell vectors:
Pr1 0.000 0.000 0.000
Pr2 0.337 0.337 0.169
Pr3 0.337 0.337 0.668
Pr4 0.663 0.663 0.332
Pr5 0.663 0.663 0.831
Sb1 0.500 0.500 0.000
Te1 0.164 0.164 0.337
Te2 0.166 0.166 0.830
Te3 0.500 0.500 0.500
Te4 0.834 0.834 0.170
Te5 0.836 0.836 0.663


Compound: Pr5Sb2Te2
Source: Alexandria via LeMat-Bulk
Functional: GGA-PBE
Structure: optimized geometry

## Properties
Its space group is Cmce (64).

abc: 9.072 9.072 8.410
angles: 90.00 90.00 55.17
Sites, in units of the cell vectors:
Pr1 0.000 0.000 0.000
Pr2 0.026 0.705 0.659
Pr3 0.205 0.526 0.159
Pr4 0.295 0.974 0.659
Pr5 0.474 0.795 0.159
Pr6 0.500 0.500 0.500
Pr7 0.526 0.205 0.841
Pr8 0.705 0.026 0.341
Pr9 0.795 0.474 0.841
Pr10 0.974 0.295 0.341
Sb1 0.141 0.859 0.359
Sb2 0.359 0.641 0.859
Sb3 0.641 0.359 0.141
Sb4 0.859 0.141 0.641
Te1 0.199 0.199 0.000
Te2 0.301 0.301 0.500
Te3 0.699 0.699 0.500
Te4 0.801 0.801 0.000


Compound: Pr8Sb5Te
Source: Alexandria via LeMat-Bulk
Functional: GGA-PBE
Structure: optimized geometry

## Properties
Its space group is I-4 (82).

abc: 8.295 8.295 8.295
angles: 109.52 109.52 109.38
Sites, in units of the cell vectors:
Pr1 0.126 0.233 0.751
Pr2 0.128 0.738 0.753
Pr3 0.262 0.015 0.390
Pr4 0.482 0.375 0.249
Pr5 0.625 0.872 0.610
Pr6 0.625 0.874 0.107
Pr7 0.767 0.518 0.893
Pr8 0.985 0.375 0.247
Sb1 0.000 0.000 0.000
Sb2 0.251 0.626 0.125
Sb3 0.374 0.499 0.625
Sb4 0.501 0.126 0.875
Sb5 0.874 0.749 0.375
Te1 0.750 0.250 0.500


Compound: Pr4SbTe3
Source: Alexandria via LeMat-Bulk
Functional: GGA-PBE
Structure: optimized geometry

## Properties
Its space group is Cmmm (65).

abc: 7.880 7.880 4.520
angles: 90.00 90.00 109.17
Sites, in units of the cell vectors:
Pr1 0.242 0.242 0.500
Pr2 0.245 0.755 0.000
Pr3 0.755 0.245 0.000
Pr4 0.758 0.758 0.500
Sb1 0.000 0.000 0.000
Te1 0.000 0.500 0.500
Te2 0.500 0.000 0.500
Te3 0.500 0.500 0.000


Compound: Pr7Sb4Te4
Source: Alexandria via LeMat-Bulk
Functional: GGA-PBE
Structure: optimized geometry

## Properties
Its space group is I4/mmm (139).

abc: 11.936 11.936 11.936
angles: 96.84 96.84 139.61
Sites, in units of the cell vectors:
Pr1 0.000 0.279 0.279
Pr2 0.000 0.721 0.721
Pr3 0.138 0.500 0.638
Pr4 0.242 0.242 0.000
Pr5 0.279 0.000 0.279
Pr6 0.295 0.295 0.589
Pr7 0.295 0.705 0.000
Pr8 0.500 0.138 0.638
Pr9 0.500 0.862 0.362
Pr10 0.705 0.295 0.000
Pr11 0.705 0.705 0.411
Pr12 0.721 0.000 0.721
Pr13 0.758 0.758 0.000
Pr14 0.862 0.500 0.362
Sb1 0.102 0.602 0.203
Sb2 0.102 0.898 0.500
Sb3 0.398 0.602 0.500
Sb4 0.398 0.898 0.797
Sb5 0.602 0.102 0.203
Sb6 0.602 0.398 0.500
Sb7 0.898 0.102 0.500
Sb8 0.898 0.398 0.797
Te1 0.122 0.122 0.243
Te2 0.122 0.878 0.000
Te3 0.335 0.500 0.835
Te4 0.500 0.335 0.835
Te5 0.500 0.665 0.165
Te6 0.665 0.500 0.165
Te7 0.878 0.122 0.000
Te8 0.878 0.878 0.757


Compound: PrSbTe
Source: Alexandria via LeMat-Bulk
Functional: GGA-PBE
Structure: optimized geometry

## Properties
Its space group is P4/nmm (129).

abc: 4.379 4.379 9.602
angles: 90.00 90.00 90.00
Sites, in units of the cell vectors:
Pr1 0.250 0.250 0.226
Pr2 0.750 0.750 0.774
Sb1 0.250 0.750 0.500
Sb2 0.750 0.250 0.500
Te1 0.250 0.250 0.875
Te2 0.750 0.750 0.125


Compound: Pr5Sb4Te
Source: Alexandria via LeMat-Bulk
Functional: GGA-PBE
Structure: optimized geometry

## Properties
The energy relative to the lowest polymorph listed for this composition is 0.00 kcal/mol of atoms. Its space group is Immm (71).

abc: 12.062 12.062 12.062
angles: 158.22 149.05 38.17
Sites, in units of the cell vectors:
Pr1 0.000 0.000 0.000
Pr2 0.200 0.200 0.000
Pr3 0.396 0.396 0.000
Pr4 0.604 0.604 0.000
Pr5 0.800 0.800 0.000
Sb1 0.099 0.599 0.500
Sb2 0.300 0.800 0.500
Sb3 0.700 0.200 0.500
Sb4 0.901 0.401 0.500
Te1 0.500 0.000 0.500


Compound: Pr4Sb2Te
Source: Alexandria via LeMat-Bulk
Functional: GGA-PBE
Structure: optimized geometry

## Properties
Its space group is I-42d (122).

abc: 8.287 8.287 8.287
angles: 109.57 109.57 109.28
Sites, in units of the cell vectors:
Pr1 0.122 0.014 0.748
Pr2 0.123 0.516 0.752
Pr3 0.266 0.373 0.252
Pr4 0.484 0.236 0.608
Pr5 0.627 0.878 0.892
Pr6 0.628 0.877 0.392
Pr7 0.764 0.372 0.248
Pr8 0.986 0.734 0.108
Sb1 0.000 0.125 0.375
Sb2 0.375 0.000 0.125
Sb3 0.750 0.625 0.625
Sb4 0.875 0.250 0.875
Te1 0.250 0.750 0.500
Te2 0.500 0.500 0.000


Compound: Pr5Sb4Te
Source: Alexandria via LeMat-Bulk
Functional: GGA-PBE
Structure: optimized geometry

## Properties
The energy relative to the lowest polymorph listed for this composition is 0.13 kcal/mol of atoms. Its space group is I4/mmm (139).

abc: 16.425 16.425 16.425
angles: 164.06 164.06 22.61
Sites, in units of the cell vectors:
Pr1 0.000 0.000 0.000
Pr2 0.200 0.200 0.000
Pr3 0.398 0.398 0.000
Pr4 0.602 0.602 0.000
Pr5 0.800 0.800 0.000
Sb1 0.099 0.099 0.000
Sb2 0.300 0.300 0.000
Sb3 0.700 0.700 0.000
Sb4 0.901 0.901 0.000
Te1 0.500 0.500 0.000


Compound: PrSbTe3
Source: Alexandria via LeMat-Bulk
Functional: GGA-PBE
Structure: optimized geometry

## Properties
Its space group is C2/m (12).

abc: 9.609 9.609 8.544
angles: 97.95 97.95 27.07
Sites, in units of the cell vectors:
Pr1 0.208 0.208 0.244
Pr2 0.792 0.792 0.756
Sb1 0.443 0.443 0.306
Sb2 0.557 0.557 0.694
Te1 0.030 0.030 0.214
Te2 0.179 0.179 0.606
Te3 0.339 0.339 0.017
Te4 0.661 0.661 0.983
Te5 0.821 0.821 0.394
Te6 0.970 0.970 0.786


Compound: Pr8Sb6Te
Source: Alexandria via LeMat-Bulk
Functional: GGA-PBE
Structure: optimized geometry

## Properties
Its space group is P-3 (147).

abc: 11.096 11.096 4.843
angles: 90.00 90.00 120.00
Sites, in units of the cell vectors:
Pr1 0.029 0.714 0.263
Pr2 0.286 0.315 0.263
Pr3 0.315 0.029 0.737
Pr4 0.333 0.667 0.743
Pr5 0.667 0.333 0.257
Pr6 0.685 0.971 0.263
Pr7 0.714 0.685 0.737
Pr8 0.971 0.286 0.737
Sb1 0.123 0.476 0.241
Sb2 0.354 0.877 0.241
Sb3 0.476 0.354 0.759
Sb4 0.524 0.646 0.241
Sb5 0.646 0.123 0.759
Sb6 0.877 0.524 0.759
Te1 0.000 0.000 0.500


Compound: Pr3Sb2Te
Source: Alexandria via LeMat-Bulk
Functional: GGA-PBE
Structure: optimized geometry

## Properties
The energy relative to the lowest polymorph listed for this composition is 0.00 kcal/mol of atoms. Its space group is C2/c (15).

abc: 7.891 7.891 7.880
angles: 99.61 99.61 120.03
Sites, in units of the cell vectors:
Pr1 0.000 0.500 0.500
Pr2 0.157 0.328 0.000
Pr3 0.328 0.157 0.500
Pr4 0.500 0.000 0.000
Pr5 0.672 0.843 0.500
Pr6 0.843 0.672 0.000
Sb1 0.084 0.916 0.750
Sb2 0.252 0.748 0.250
Sb3 0.748 0.252 0.750
Sb4 0.916 0.084 0.250
Te1 0.418 0.582 0.750
Te2 0.582 0.418 0.250


Compound: Pr2ThSb2Te2
Source: Alexandria via LeMat-Bulk
Functional: GGA-PBE
Structure: optimized geometry

## Properties
Its space group is I4/mmm (139).

abc: 8.913 8.913 8.913
angles: 140.77 140.77 56.68
Sites, in units of the cell vectors:
Pr1 0.114 0.114 0.000
Pr2 0.886 0.886 0.000
Th1 0.500 0.500 0.000
Sb1 0.000 0.500 0.500
Sb2 0.500 0.000 0.500
Te1 0.304 0.304 0.000
Te2 0.696 0.696 0.000


| no. | electronic total energy (eV per atom) | E_form (uncorrected) (eV per atom) |
| --- | --- | --- |
| 1 | -5.439 | -1.228 |
| 2 | -5.467 | -1.408 |
| 3 | -4.800 | -0.785 |
| 4 | -4.801 | -1.070 |
| 5 | -5.610 | -1.281 |
| 6 | -5.497 | -1.209 |
| 7 | -5.160 | -1.079 |
| 8 | -5.408 | -1.433 |
| 9 | -5.456 | -1.186 |
| 10 | -5.526 | -1.098 |
| 11 | -5.490 | -1.407 |
| 12 | -5.332 | -1.164 |
| 13 | -5.189 | -1.174 |
| 14 | -5.625 | -1.272 |
| 15 | -5.489 | -1.131 |
| 16 | -5.619 | -1.267 |
| 17 | -4.344 | -0.678 |
| 18 | -5.304 | -0.896 |
| 19 | -5.608 | -1.321 |
| 20 | -5.260 | -0.759 |